Entry 1:
VASP calculation (PBE) on In2TeIr after structural relaxation.

The space group is F-43m (No. 216) and the conventional cell measures 7.0504, 7.0504 and 7.0504 Å, with angles of 90.00, 90.00 and 90.00 degrees. The inequivalent atoms are In at (0.0000, 0.0000, 0.0000), In at (0.2500, 0.2500, 0.2500), Te at (0.0000, 0.0000, 0.5000) and Ir at (0.2500, 0.2500, 0.7500).

=====

Entry 2:
VASP calculation (PBE) on K2SiAgBr6 after structural relaxation.

The space group is Fm-3m (No. 225) and the conventional cell measures 10.7230, 10.7230 and 10.7230 Å, with angles of 90.00, 90.00 and 90.00 degrees. The inequivalent atoms are K at (0.2500, 0.2500, 0.2500), Si at (0.0000, 0.0000, 0.0000), Ag at (0.0000, 0.0000, 0.5000) and Br at (0.0000, 0.0000, 0.2390).

=====

Entry 3:
VASP calculation (PBE) on DyTmCd2 after structural relaxation.

As for the energy relative to the elements: -0.323 eV per atom.

The space group is Pmm2 (No. 25) and the conventional cell measures 3.7456, 5.2348 and 5.2355 Å, with angles of 90.00, 90.00 and 90.00 degrees. The inequivalent atoms are Dy at (0.0000, 0.0000, 0.0000), Tm at (0.0000, 0.5000, 0.5034), Cd at (0.5000, 0.0000, 0.4996) and Cd at (0.5000, 0.5000, 0.0039).

=====

no.,calculated density (kg/m³),DFT total energy (eV per atom)
1,10414,-4.025
2,3736,-2.986
3,8998,-3.040